A plane-wave DFT calculation with PBE was carried out for crystalline GaGeAu3 at its relaxed geometry.

## Properties
- Calculated formation energy: -1 kJ per mole of atoms
- V: 19.551 Å³ per atom
- Energy above the lowest structure with this stoichiometry: 0.0 meV per atom
- Symmetry: P2_1/m (11)

CIF file:
```
data_GaGeAu3
_chemical_formula_sum 'Ga2 Ge2 Au6'
_cell_length_a 4.4165
_cell_length_b 5.0197
_cell_length_c 9.8116
_cell_angle_alpha 90.00
_cell_angle_beta 90.00
_cell_angle_gamma 116.00
_symmetry_space_group_name_H-M 'P 1'
_symmetry_Int_Tables_number 1
_symmetry_space_group_name_Hall 'P 1'
loop_
_atom_site_label
_atom_site_type_symbol
_atom_site_fract_x
_atom_site_fract_y
_atom_site_fract_z
_atom_site_occupancy
Au1 Au 0.3292 0.6626 0.7500 1
Au2 Au 0.8457 0.6913 0.5347 1
Au3 Au 0.6708 0.3374 0.2500 1
Au4 Au 0.1543 0.3087 0.0347 1
Au5 Au 0.8457 0.6913 0.9653 1
Au6 Au 0.1543 0.3087 0.4653 1
Ga1 Ga 0.5000 0.0000 0.0000 1
Ga2 Ga 0.5000 0.0000 0.5000 1
Ge1 Ge 0.3446 0.6825 0.2500 1
Ge2 Ge 0.6554 0.3175 0.7500 1
```